[1]
First-principles (GGA-PBE) data for an optimized crystal structure of Rb2SnSb2Pb, as listed in Alexandria via LeMat-Bulk.

Values from the calculation:
Uncorrected formation energy: -0.260 eV per atom
Raw total energy: -3.242 eV/atom
Total moment: 0.0 μB/cell
Space group: Ibam, No. 72

a = 9.792 Å, b = 9.792 Å, c = 9.792 Å
α = 132.08°, β = 69.03°, γ = 133.44°
Fractional coordinates of all 12 atoms:
Rb  0.169  0.244  0.413
Rb  0.331  0.744  0.075
Rb  0.669  0.256  0.925
Rb  0.831  0.756  0.587
Sn  0.250  0.250  0.000
Sn  0.750  0.750  0.000
Sb  0.095  0.766  0.861
Sb  0.405  0.266  0.671
Sb  0.595  0.734  0.329
Sb  0.905  0.234  0.139
Pb  0.250  0.750  0.500
Pb  0.750  0.250  0.500


[2]
First-principles (GGA-PBE) data for an optimized crystal structure of Cs5BrCl4, as listed in Alexandria via LeMat-Bulk.

Values from the calculation:
Uncorrected formation energy: -1.929 eV per atom
Raw total energy: -3.261 eV/atom
Total moment: 0.2 μB/cell
Space group: I4/m, No. 87

a = 8.734 Å, b = 8.734 Å, c = 8.734 Å
α = 99.62°, β = 99.62°, γ = 131.75°
Fractional coordinates of all 10 atoms:
Cs  0.000  0.000  0.000
Cs  0.191  0.395  0.586
Cs  0.395  0.809  0.204
Cs  0.605  0.191  0.796
Cs  0.809  0.605  0.414
Br  0.500  0.500  0.000
Cl  0.103  0.700  0.802
Cl  0.300  0.103  0.403
Cl  0.700  0.897  0.597
Cl  0.897  0.300  0.198


[3]
First-principles (GGA-PBE) data for an optimized crystal structure of CsTiBr3, as listed in Alexandria via LeMat-Bulk.

Values from the calculation:
Offset from the most stable computed form: 85.4 meV per atom
Uncorrected formation energy: -1.301 eV per atom
Raw total energy: -4.055 eV/atom
Total moment: 2.1 μB/cell
Space group: Pnma, No. 62

a = 9.614 Å, b = 3.838 Å, c = 16.899 Å
α = 90.00°, β = 90.00°, γ = 90.00°
Fractional coordinates of all 20 atoms:
Cs  0.055  0.250  0.167
Cs  0.445  0.750  0.667
Cs  0.555  0.250  0.333
Cs  0.945  0.750  0.833
Ti  0.106  0.750  0.459
Ti  0.394  0.250  0.959
Ti  0.606  0.750  0.041
Ti  0.894  0.250  0.541
Br  0.045  0.750  0.607
Br  0.201  0.750  0.997
Br  0.240  0.750  0.314
Br  0.260  0.250  0.814
Br  0.299  0.250  0.497
Br  0.455  0.250  0.107
Br  0.545  0.750  0.893
Br  0.701  0.750  0.503
Br  0.740  0.750  0.186
Br  0.760  0.250  0.686
Br  0.799  0.250  0.003
Br  0.955  0.250  0.393